Arrangement a

The following is a DFT calculation (GGA-PBE) of a relaxed structure of CuOsSe2.

a = 3.3282 Å, b = 5.7248 Å, c = 3.7248 Å
α = 90.00°, β = 90.00°, γ = 90.00°
Fractional coordinates of all 4 atoms:
Cu  0.5000  0.0000  0.5000
Os  0.0000  0.5000  0.5000
Se  0.0000  0.0000  0.0000
Se  0.5000  0.5000  0.0000

**Crystal system**: orthorhombic
**Magnetization**: 0.0 μB per formula unit
**DOS(E_F)**: 1.026 states/eV/atom

Arrangement b

The following is a DFT calculation (GGA-PBE) of a relaxed structure of CuOsSe2.

a = 3.7835 Å, b = 3.7804 Å, c = 5.4780 Å
α = 89.96°, β = 90.00°, γ = 90.00°
Fractional coordinates of all 4 atoms:
Cu  0.0000  0.3751  0.6246
Os  0.5000  0.8750  0.6253
Se  0.0000  0.8747  0.9183
Se  0.5000  0.3752  0.3318

**Crystal system**: tetragonal
**Magnetization**: 0.0 μB per formula unit
**DOS(E_F)**: 0.938 states/eV/atom

Arrangement c

The following is a DFT calculation (GGA-PBE) of a relaxed structure of CuOsSe2.

a = 4.1002 Å, b = 4.1002 Å, c = 7.2807 Å
α = 67.49°, β = 67.49°, γ = 45.79°
Fractional coordinates of all 4 atoms:
Cu  0.5306  0.5306  0.4991
Os  0.7240  0.7240  0.7149
Se  0.9539  0.9539  0.8980
Se  0.2916  0.2916  0.3880

**Crystal system**: monoclinic
**Magnetization**: 0.0 μB per formula unit
**DOS(E_F)**: 0.975 states/eV/atom

Arrangement d

The following is a DFT calculation (GGA-PBE) of a relaxed structure of CuOsSe2.

a = 3.9043 Å, b = 3.9043 Å, c = 8.7599 Å
α = 46.81°, β = 46.81°, γ = 61.19°
Fractional coordinates of all 4 atoms:
Cu  0.2500  0.2500  0.2500
Os  0.7500  0.7500  0.7500
Se  0.8596  0.8596  0.9704
Se  0.6404  0.6404  0.5296

**Crystal system**: monoclinic
**Magnetization**: 0.0 μB per formula unit
**DOS(E_F)**: 0.968 states/eV/atom

In meV per atom, relative to the most stable structure: arrangement a 681; arrangement b 95; arrangement c 152; arrangement d 0.